## Ca2MnBiO5 (PBE with a Hubbard U)

Data for an optimized crystal structure of Ca2MnBiO5.

Results
Mass density   5.12 g/cm3
Uncorrected energy   -6.424 eV per atom

a = 3.3296 Å, b = 17.1269 Å, c = 9.6438 Å
α = 90.00°, β = 90.00°, γ = 90.00°
Closest atoms and distances in Å follow each position.
Space group Cmc2_1 (No. 36)
Symmetry-distinct sites (fractional):
Ca  0.0000  0.1430  0.0000 (multiplicity 4)  5 O 2.32-2.58
Ca  0.0000  0.1871  0.6335 (multiplicity 4)  5 O 2.33-2.36
Mn  0.0000  0.2096  0.3356 (multiplicity 4)  2 O 1.89-2.01
Bi  0.0000  0.4664  0.8209 (multiplicity 4)  3 O 2.07-2.19
O  0.0000  0.0997  0.4100 (multiplicity 4)  1 Mn 2.01, 2 Bi 2.19
O  0.0000  0.2776  0.9772 (multiplicity 4)  2 Mn 2.16, 3 Ca 2.32-2.33
O  0.0000  0.3185  0.3016 (multiplicity 4)  1 Mn 1.89
O  0.0000  0.3206  0.6938 (multiplicity 4)  2 Mn 2.22, 1 Ca 2.36
O  0.0000  0.4566  0.4869 (multiplicity 4)  1 Bi 2.07



## Ca2MnBiO6 (PBE with a Hubbard U)

Data for an optimized crystal structure of Ca2MnBiO6.

Results
Mass density   5.53 g/cm3
Uncorrected energy   -6.430 eV per atom

a = 9.8801 Å, b = 5.6185 Å, c = 5.5868 Å
α = 90.00°, β = 121.50°, γ = 90.00°
Closest atoms and distances in Å follow each position.
Space group C2/m (No. 12)
Symmetry-distinct sites (fractional):
Ca  0.2443  0.0000  0.2127 (multiplicity 4)  5 O 2.33-2.41
Mn  0.0000  0.5000  0.0000 (multiplicity 2)  4 O 1.96
Bi  0.0000  0.0000  0.5000 (multiplicity 2)  6 O 2.10-2.17
O  0.0678  0.2595  0.8308 (multiplicity 8)  1 Mn 1.96, 1 Bi 2.17
O  0.2411  0.0000  0.6261 (multiplicity 4)  1 Bi 2.10, 1 Mn 2.31, 1 Ca 2.33



uncorrected energy of number 1 (Ca2MnBiO5)? -6.424 eV per atom



Which of these has the lowest mass density? Ca2MnBiO5



The highest mass density belongs to which entry? Ca2MnBiO6



Number 2 is which compound? Ca2MnBiO6